Record 1
Na2NbTlF8 | PBE | relaxed

SG = No. 2

Cell lengths 4.990, 5.493, 8.193 Å; angles 85.39, 87.01, 82.84 degrees
Atoms (fractional coordinates):
1 Na 0.455 0.466 0.700
2 Na 0.545 0.534 0.300
3 Nb 0.000 0.000 0.000
4 Tl 0.000 0.000 0.500
5 F 0.212 0.827 0.176
6 F 0.745 0.762 0.042
7 F 0.804 0.208 0.159
8 F 0.788 0.173 0.824
9 F 0.255 0.238 0.958
10 F 0.196 0.792 0.841
11 F 0.659 0.697 0.517
12 F 0.341 0.303 0.483

Record 2
NaNdF | PBE | relaxed

SG = No. 12

Cell lengths 4.059, 4.054, 13.120 Å; angles 80.09, 90.00, 120.04 degrees
Atoms (fractional coordinates):
1 Nd 0.122 0.243 0.131
2 Nd 0.878 0.757 0.869
3 Na 0.371 0.742 0.380
4 Na 0.629 0.258 0.620
5 F 0.216 0.431 0.858
6 F 0.784 0.569 0.142

Number 1: raw total energy -5.221 eV per atom. Number 2: raw total energy -4.163 eV per atom.